VASP calculation (PBE) on a relaxed structure of LiGd2Os.

Unit cell a=3.9510 b=3.9510 c=29.9816 alpha=90.00 beta=90.00 gamma=120.00
Space group R-3m (No. 166, hexagonal axes)
Inequivalent atoms, fractional coordinates:
Li (0.0000, 0.0000, 0.0000) [3 per cell]
Gd (0.0000, 0.0000, 0.1154) [6 per cell]
Os (0.0000, 0.0000, 0.5000) [3 per cell]

ΔH_f (0 K), eV per atom: 0.1823